Entry 1:
Density functional theory data (GGA-PBE) for a relaxed La2TeIrC crystal.

Unit cell a=5.486 b=5.486 c=3.916 alpha=90.00 beta=90.00 gamma=90.00
Sites, in units of the cell vectors:
C  0.000  0.000  0.000
Ir  0.000  0.000  0.500
Te  0.500  0.500  0.500
La  0.000  0.500  0.000
La  0.500  0.000  0.000

Calculated values
**Symmetry**: No. 123
**Raw formation energy**: -831 meV per atom
**Calculated total energy**: -35.237 eV/cell
**Calculated volume**: 23.57 Å³/atom

Entry 2:
Density functional theory data (GGA-PBE) for a relaxed LiIrC3 crystal.

Unit cell a=3.987 b=3.987 c=3.987 alpha=90.00 beta=90.00 gamma=90.00
Sites, in units of the cell vectors:
C  0.000  0.500  0.000
C  0.000  0.000  0.500
C  0.500  0.000  0.000
Ir  0.000  0.000  0.000
Li  0.500  0.500  0.500

Calculated values
**Relative energy among the computed polymorphs**: 0 meV per atom
**Energy of formation**: 1853 meV per atom
**Symmetry**: No. 221
**Calculated total energy**: -29.182 eV/cell
**Calculated volume**: 12.68 Å³/atom

Entry 3:
Density functional theory data (GGA-PBE) for a relaxed LiIrC crystal.

Unit cell a=2.816 b=4.611 c=6.625 alpha=124.40 beta=89.98 gamma=72.21
Sites, in units of the cell vectors:
Li  0.254  0.490  0.161
Li  0.746  0.510  0.839
Ir  0.432  0.135  0.365
Ir  0.568  0.865  0.635
C  0.984  0.031  0.115
C  0.016  0.969  0.885

Calculated values
**Energy of formation**: 31 meV per atom
**Symmetry**: No. 12
**Calculated total energy**: -39.809 eV/cell
**Calculated volume**: 10.99 Å³/atom

Entry 4:
Density functional theory data (GGA-PBE) for a relaxed LiIrC2 crystal.

Unit cell a=3.668 b=3.668 c=3.668 alpha=60.00 beta=60.00 gamma=60.00
Sites, in units of the cell vectors:
C  0.250  0.250  0.250
C  0.750  0.750  0.750
Ir  0.500  0.500  0.500
Li  0.000  0.000  0.000

Calculated values
**Relative energy among the computed polymorphs**: 243 meV per atom
**Energy of formation**: 1094 meV per atom
**Symmetry**: No. 225
**Calculated total energy**: -24.846 eV/cell
**Calculated volume**: 8.73 Å³/atom